Entry 1:
This record from Alexandria describes crystalline Ac4Te2PS at its relaxed geometry. The functional is PBE.

Cell lengths 4.488, 7.757, 8.111 Å; angles 108.65, 90.00, 90.00 degrees
Element x y z (fractional)
Ac1 0.500 0.236 0.214
Ac2 0.500 0.764 0.786
Ac3 0.000 0.259 0.785
Ac4 0.000 0.741 0.215
Te1 0.500 0.000 0.500
Te2 0.000 0.500 0.500
P1 0.000 0.000 0.000
S1 0.500 0.500 0.000

## Properties
For the formation energy (no corrections), the calculation gives -1.67 eV per atom. The density of states at the Fermi level is 3.3 states/eV per cell. Its crystal system is monoclinic.



Entry 2:
This record from Alexandria describes crystalline LiAcCe at its relaxed geometry. The functional is PBE.

Cell lengths 3.809, 3.809, 7.124 Å; angles 105.50, 105.50, 90.00 degrees
Site moments in Bohr magnetons follow the coordinates.
Element x y z (fractional)
Ac1 0.656 0.656 0.312  0.05
Ce1 0.350 0.350 0.700  0.98
Li1 0.994 0.994 0.988  0.00

## Properties
The density of states at the Fermi level is 7.4 states/eV per cell. The calculation puts the formation energy at 204 meV per atom. Its crystal system is tetragonal.



Entry 3:
This record from Alexandria describes crystalline Hg2SbI at its relaxed geometry. The functional is PBE.

Cell lengths 6.758, 6.758, 8.544 Å; angles 66.70, 66.70, 90.00 degrees
Element x y z (fractional)
I1 0.000 0.000 0.000
I2 0.750 0.250 0.500
Sb1 0.500 0.500 0.000
Sb2 0.250 0.750 0.500
Hg1 0.564 0.125 0.250
Hg2 0.186 0.625 0.250
Hg3 0.375 0.436 0.750
Hg4 0.875 0.814 0.750

## Properties
For the formation energy (no corrections), the calculation gives -0.10 eV per atom. The density of states at the Fermi level is 0.6 states/eV per cell. Its crystal system is tetragonal.



Entry 4:
This record from Alexandria describes crystalline La2Sm3Au4 at its relaxed geometry. The functional is PBE.

Cell lengths 7.543, 8.896, 7.904 Å; angles 90.00, 90.00, 110.53 degrees
Element x y z (fractional)
La1 0.550 0.186 0.321
La2 0.950 0.814 0.821
La3 0.450 0.814 0.679
La4 0.050 0.186 0.179
Sm1 0.000 0.500 0.500
Sm2 0.500 0.500 0.000
Sm3 0.737 0.243 0.833
Sm4 0.763 0.757 0.333
Sm5 0.263 0.757 0.167
Sm6 0.237 0.243 0.667
Au1 0.839 0.072 0.535
Au2 0.661 0.928 0.035
Au3 0.161 0.928 0.465
Au4 0.339 0.072 0.965
Au5 0.867 0.489 0.138
Au6 0.633 0.511 0.638
Au7 0.133 0.511 0.862
Au8 0.367 0.489 0.362

## Properties
The density of states at the Fermi level is 18.7 states/eV per cell. The calculation puts the formation energy at -720 meV per atom. Its crystal system is monoclinic.